No. 1
This record from Alexandria via LeMat-Bulk describes crystalline Be2In2Si at its relaxed geometry. The functional is PBE-GGA.

Cell: 3.241 3.241 8.507 Å, 79.02 79.02 90.00°
Sites, in units of the cell vectors:
Be  0.750  0.250  0.500
Be  0.250  0.750  0.500
Si  0.000  0.000  0.000
In  0.383  0.383  0.234
In  0.617  0.617  0.766

E above lowest polymorph: 0.092 eV per atom
Formation energy without anion corrections: 0.559 eV/atom
DOS at the Fermi energy: 2.080 states/eV/cell

=====

No. 2
This record from Alexandria via LeMat-Bulk describes crystalline Ca2Mg5Tl12 at its relaxed geometry. The functional is PBE-GGA.

Cell: 10.129 9.654 6.514 Å, 96.32 90.00 121.64°
Sites, in units of the cell vectors:
Ca  0.799  0.000  0.000
Ca  0.201  0.000  0.000
Mg  0.272  0.544  0.534
Mg  0.335  0.670  0.063
Mg  0.000  0.000  0.500
Mg  0.665  0.330  0.937
Mg  0.728  0.456  0.466
Tl  0.851  0.701  0.151
Tl  0.023  0.600  0.791
Tl  0.578  0.600  0.791
Tl  0.176  0.799  0.398
Tl  0.622  0.799  0.398
Tl  0.465  0.930  0.749
Tl  0.535  0.070  0.251
Tl  0.824  0.201  0.602
Tl  0.378  0.201  0.602
Tl  0.977  0.400  0.209
Tl  0.422  0.400  0.209
Tl  0.149  0.299  0.849

Formation energy from the elements: -0.058 eV per atom
DOS at the Fermi energy: 7.878 states/eV/cell

=====

No. 3
This record from Alexandria via LeMat-Bulk describes crystalline Zn2OsRh at its relaxed geometry. The functional is PBE-GGA.

Cell: 4.515 4.515 4.902 Å, 80.75 80.75 35.00°
Sites, in units of the cell vectors:
Os  0.750  0.750  0.750
Rh  0.250  0.250  0.250
Zn  0.999  0.999  0.002
Zn  0.501  0.501  0.498

Formation energy from the elements: 0.000 eV per atom
E above lowest polymorph: 0.011 eV per atom
DOS at the Fermi energy: 2.807 states/eV/cell

=====

No. 4
This record from Alexandria via LeMat-Bulk describes crystalline MnAlOs2 at its relaxed geometry. The functional is PBE-GGA.

Cell: 5.019 5.019 5.019 Å, 146.32 125.86 65.29°
Each line ends with the local moment (μB).
Sites, in units of the cell vectors:
Mn  0.250  0.750  0.500  2.88
Os  0.002  0.002  0.000  0.03
Os  0.498  0.498  0.000  0.03
Al  0.750  0.250  0.500  -0.01

Formation energy from the elements: 0.022 eV per atom
DOS at the Fermi energy: 3.193 states/eV/cell

=====

No. 5
This record from Alexandria via LeMat-Bulk describes crystalline BaZr4Pd3S12 at its relaxed geometry. The functional is PBE-GGA.

Cell: 8.236 8.236 8.236 Å, 109.47 109.47 109.47°
Sites, in units of the cell vectors:
Ba  0.000  0.000  0.000
Zr  0.500  0.000  0.000
Zr  0.500  0.500  0.500
Zr  0.000  0.500  0.000
Zr  0.000  0.000  0.500
Pd  0.000  0.500  0.500
Pd  0.500  0.500  0.000
Pd  0.500  0.000  0.500
S  0.315  0.834  0.148
S  0.685  0.166  0.852
S  0.685  0.834  0.519
S  0.852  0.685  0.166
S  0.834  0.148  0.315
S  0.166  0.481  0.315
S  0.481  0.315  0.166
S  0.166  0.852  0.685
S  0.315  0.166  0.481
S  0.148  0.315  0.834
S  0.834  0.519  0.685
S  0.519  0.685  0.834

Formation energy without anion corrections: -1.122 eV/atom
DOS at the Fermi energy: 9.285 states/eV/cell

=====

No. 6
This record from Alexandria via LeMat-Bulk describes crystalline Ba2IrPb at its relaxed geometry. The functional is PBE-GGA.

Cell: 9.816 9.816 9.816 Å, 25.51 25.51 25.51°
Sites, in units of the cell vectors:
Pb  0.750  0.750  0.750
Ir  0.250  0.250  0.250
Ba  0.979  0.979  0.979
Ba  0.521  0.521  0.521

Formation energy from the elements: 0.024 eV per atom
DOS at the Fermi energy: 3.892 states/eV/cell

=====

No. 7
This record from Alexandria via LeMat-Bulk describes crystalline Nd8Pt2Rh3 at its relaxed geometry. The functional is PBE-GGA.

Cell: 6.935 8.009 8.538 Å, 117.97 105.92 90.00°
Sites, in units of the cell vectors:
Nd  0.899  0.612  0.225
Nd  0.101  0.388  0.775
Nd  0.921  0.113  0.226
Nd  0.079  0.887  0.774
Nd  0.592  0.638  0.762
Nd  0.592  0.124  0.762
Nd  0.408  0.876  0.238
Nd  0.408  0.362  0.238
Pt  0.336  0.255  0.510
Pt  0.664  0.745  0.490
Rh  0.500  0.000  0.000
Rh  0.000  0.259  0.000
Rh  0.000  0.741  0.000

Formation energy from the elements: -0.630 eV per atom
E above lowest polymorph: 0.013 eV per atom
DOS at the Fermi energy: 9.918 states/eV/cell

=====

No. 8
This record from Alexandria via LeMat-Bulk describes crystalline Th2TcCl at its relaxed geometry. The functional is PBE-GGA.

Cell: 4.152 4.152 8.103 Å, 89.64 89.68 60.01°
Sites, in units of the cell vectors:
Th  0.714  0.485  0.648
Th  0.378  0.148  0.012
Tc  0.046  0.817  0.823
Cl  0.710  0.480  0.276

E above lowest polymorph: 0.000 eV per atom
Formation energy without anion corrections: -0.723 eV/atom
DOS at the Fermi energy: 1.312 states/eV/cell

=====

No. 9
This record from Alexandria via LeMat-Bulk describes crystalline Zn2GeRhPb at its relaxed geometry. The functional is PBE-GGA.

Cell: 4.790 4.716 4.790 Å, 90.00 90.00 90.00°
Sites, in units of the cell vectors:
Pb  0.500  0.500  0.500
Ge  0.000  0.000  0.000
Rh  0.000  0.500  0.000
Zn  0.000  0.000  0.500
Zn  0.500  0.000  0.000

Formation energy from the elements: 0.313 eV per atom
DOS at the Fermi energy: 2.221 states/eV/cell

=====

No. 10
This record from Alexandria via LeMat-Bulk describes crystalline CuSbPd14 at its relaxed geometry. The functional is PBE-GGA.

Cell: 5.571 5.571 9.156 Å, 90.00 90.00 118.78°
Sites, in units of the cell vectors:
Cu  0.049  0.951  0.500
Sb  0.550  0.450  0.500
Pd  0.199  0.801  0.000
Pd  0.701  0.299  0.000
Pd  0.055  0.446  0.500
Pd  0.201  0.298  0.000
Pd  0.554  0.945  0.500
Pd  0.702  0.799  0.000
Pd  0.372  0.125  0.743
Pd  0.372  0.125  0.257
Pd  0.875  0.628  0.743
Pd  0.875  0.628  0.257
Pd  0.373  0.627  0.753
Pd  0.373  0.627  0.247
Pd  0.875  0.125  0.750
Pd  0.875  0.125  0.250

Formation energy without anion corrections: -0.108 eV/atom
DOS at the Fermi energy: 26.684 states/eV/cell

=====

No. 11
This record from Alexandria via LeMat-Bulk describes crystalline Ta2Ru at its relaxed geometry. The functional is PBE-GGA.

Cell: 5.375 5.375 6.526 Å, 70.69 70.69 34.75°
Sites, in units of the cell vectors:
Ru  0.035  0.035  0.954
Ru  0.354  0.354  0.768
Ta  0.366  0.366  0.267
Ta  0.693  0.693  0.619
Ta  0.696  0.696  0.103
Ta  0.023  0.023  0.456

Formation energy from the elements: -0.237 eV per atom
DOS at the Fermi energy: 4.594 states/eV/cell

=====

No. 12
This record from Alexandria via LeMat-Bulk describes crystalline Na3MoBr7 at its relaxed geometry. The functional is PBE-GGA.

Cell: 7.647 7.647 7.213 Å, 86.17 86.17 72.71°
Each line ends with the local moment (μB).
Sites, in units of the cell vectors:
Na  0.809  0.263  0.472  0.00
Na  0.350  0.350  0.938  0.00
Na  0.263  0.809  0.472  0.00
Mo  0.035  0.035  0.966  1.73
Br  0.161  0.161  0.245  0.01
Br  0.716  0.114  0.131  0.00
Br  0.959  0.357  0.813  0.00
Br  0.114  0.716  0.131  0.00
Br  0.449  0.449  0.573  -0.01
Br  0.357  0.959  0.813  0.00
Br  0.912  0.912  0.695  0.02

Formation energy without anion corrections: -1.033 eV/atom
DOS at the Fermi energy: 7.784 states/eV/cell